A relaxed structure of Sm4SnRh2, computed with PBE.

The space group is R-3m (166). Its raw total energy is -41.8 eV for the cell shown. The calculation puts the formation energy at -602 meV per atom.

POSCAR file:
```
Sm4SnRh2
1.0
2.373 1.370 9.869
-2.373 1.370 9.869
0.000 -2.741 9.869
Sm Sn Rh
4 1 2
Cartesian
0.000 0.000 3.384 Sm
0.000 0.000 8.807 Sm
0.000 0.000 20.799 Sm
0.000 0.000 26.222 Sm
0.000 0.000 14.803 Sn
0.000 0.000 11.885 Rh
0.000 0.000 17.721 Rh
```

---

A relaxed structure of Tb3Sm2Mg8, computed with PBE.

The space group is R-3m (166). Its raw total energy is -34.6 eV for the cell shown. The calculation puts the formation energy at 113 meV per atom.

POSCAR file:
```
Tb3Sm2Mg8
1.0
2.933 1.693 12.445
-2.933 1.693 12.445
0.000 -3.386 12.445
Tb Sm Mg
3 2 8
Cartesian
0.000 0.000 0.000 Tb
0.000 0.000 6.863 Tb
0.000 0.000 30.471 Tb
0.000 0.000 13.463 Sm
0.000 0.000 23.871 Sm
-1.470 -0.849 21.008 Mg
0.000 -1.697 16.326 Mg
-1.470 0.849 16.326 Mg
0.000 0.000 10.249 Mg
0.000 0.000 27.085 Mg
1.470 -0.849 21.008 Mg
0.000 1.697 21.008 Mg
1.470 0.849 16.326 Mg
```

---

A relaxed structure of PuHfPaO6, computed with PBE.

The space group is P-31c (163). Its raw total energy is -187.1 eV for the cell shown. For the formation energy (no corrections), the calculation gives -3.3339 eV per atom.

POSCAR file:
```
PuHfPaO6
1.0
5.710 0.000 0.000
-2.855 4.945 0.000
0.000 0.000 9.611
Pu Hf Pa O
2 2 2 12
Cartesian
0.000 0.000 0.000 Pu
0.000 0.000 4.806 Pu
0.000 3.297 2.403 Hf
2.855 1.648 7.208 Hf
0.000 3.297 7.208 Pa
2.855 1.648 2.403 Pa
-0.951 1.772 1.315 O
-1.796 3.236 3.491 O
0.951 1.772 3.491 O
-0.845 4.883 1.315 O
2.010 0.062 6.120 O
1.059 1.710 8.296 O
1.796 3.236 1.315 O
0.845 4.883 3.491 O
3.700 0.062 8.296 O
1.904 3.173 6.120 O
4.651 1.710 6.120 O
3.806 3.173 8.296 O
```

---

A relaxed structure of PmSi2, computed with PBE.

The space group is Fd-3m (227). Its raw total energy is -33.0 eV for the cell shown. For the formation energy (no corrections), the calculation gives -0.3013 eV per atom. For the polymorph energy (0 for the lowest one), the calculation gives 270 meV per atom.

POSCAR file:
```
PmSi2
1.0
0.000 3.834 3.834
3.834 0.000 3.834
3.834 3.834 0.000
Pm Si
2 4
Cartesian
0.959 0.959 0.959 Pm
6.710 6.710 6.710 Pm
3.834 1.917 1.917 Si
1.917 3.834 1.917 Si
1.917 1.917 3.834 Si
3.834 3.834 3.834 Si
```

---

A relaxed structure of FeSiTe2Ir, computed with PBE.

The space group is P4/mmm (123). Its raw total energy is -25.0 eV for the cell shown. For the formation energy (no corrections), the calculation gives 0.8101 eV per atom.

POSCAR file:
```
FeSiTe2Ir
1.0
5.436 0.000 0.000
0.000 5.436 0.000
0.000 0.000 4.426
Fe Si Te Ir
1 1 2 1
Cartesian
0.000 0.000 0.000 Fe
2.718 2.718 0.000 Si
0.000 2.718 2.213 Te
2.718 0.000 2.213 Te
2.718 2.718 2.213 Ir
```

---

A relaxed structure of InP2WCl, computed with PBE.

The space group is P4/mmm (123). Its raw total energy is -20.5 eV for the cell shown. For the formation energy (no corrections), the calculation gives 1.5679 eV per atom. For the polymorph energy (0 for the lowest one), the calculation gives 1407 meV per atom.

POSCAR file:
```
InP2WCl
1.0
5.023 0.000 0.000
0.000 5.023 0.000
0.000 0.000 4.875
In P W Cl
1 2 1 1
Cartesian
0.000 0.000 0.000 In
0.000 2.511 0.000 P
2.511 0.000 0.000 P
2.511 2.511 2.438 W
0.000 0.000 2.438 Cl
```

---

A relaxed structure of TbTl2SbSe4, computed with PBE.

The space group is Imma (74). Its raw total energy is -68.4 eV for the cell shown. For the formation energy (no corrections), the calculation gives -0.8454 eV per atom.

POSCAR file:
```
TbTl2SbSe4
1.0
-4.320 4.406 6.178
4.320 -4.406 6.178
4.320 4.406 -6.178
Tb Tl Sb Se
2 4 2 8
Cartesian
-2.160 2.203 3.089 Tb
2.160 2.203 3.089 Tb
0.000 0.000 0.000 Tl
2.160 2.203 -3.089 Tl
2.160 -2.203 3.089 Tl
0.000 4.406 0.000 Tl
4.320 0.000 0.000 Sb
0.000 0.000 6.178 Sb
2.367 2.203 0.171 Se
6.272 2.203 0.171 Se
4.320 0.249 2.924 Se
0.000 0.249 3.255 Se
4.320 4.157 2.924 Se
0.000 4.157 3.255 Se
-1.953 2.203 6.008 Se
1.953 2.203 6.008 Se
```

---

A relaxed structure of Tb7Tm3, computed with PBE.

The space group is P6_3mc (186). Its raw total energy is -87.7 eV for the cell shown. The calculation puts the formation energy at 199 meV per atom. For the polymorph energy (0 for the lowest one), the calculation gives 180 meV per atom.

POSCAR file:
```
Tb7Tm3
1.0
10.868 0.000 0.000
-5.434 9.412 0.000
0.000 0.000 6.208
Tb Tm
14 6
Cartesian
-2.251 4.975 0.000 Tb
0.000 2.219 5.332 Tb
-3.512 8.302 5.332 Tb
1.922 1.110 2.228 Tb
0.000 6.275 4.675 Tb
2.251 4.975 0.000 Tb
0.000 8.873 0.000 Tb
5.434 0.538 3.104 Tb
3.183 4.437 3.104 Tb
5.434 3.137 1.571 Tb
3.512 8.302 5.332 Tb
8.946 1.110 2.228 Tb
5.434 7.193 2.228 Tb
7.685 4.437 3.104 Tb
0.000 4.055 2.292 Tm
-1.922 7.384 2.292 Tm
3.512 2.027 5.396 Tm
1.922 7.384 2.292 Tm
7.356 2.027 5.396 Tm
5.434 5.357 5.396 Tm
```

---

A relaxed structure of TlGa2OsO8, computed with PBE.

The space group is P2/m (10). Its raw total energy is -72.9 eV for the cell shown. For the formation energy (no corrections), the calculation gives -1.1355 eV per atom.

POSCAR file:
```
TlGa2OsO8
1.0
4.638 0.000 0.000
0.000 6.508 0.000
-0.028 0.000 4.643
Tl Ga Os O
1 2 1 8
Cartesian
0.000 0.000 0.000 Tl
2.305 1.612 2.322 Ga
2.305 4.897 2.322 Ga
0.000 3.254 0.000 Os
0.921 1.896 3.707 O
0.921 4.613 3.707 O
1.342 3.254 1.359 O
1.479 0.000 1.498 O
3.131 0.000 3.146 O
3.268 3.254 3.284 O
3.689 1.896 0.936 O
3.689 4.613 0.936 O
```

---

A relaxed structure of ScCdTc2Cl, computed with PBE.

The space group is P4/mmm (123). Its raw total energy is -24.5 eV for the cell shown. For the formation energy (no corrections), the calculation gives 1.0691 eV per atom.

POSCAR file:
```
ScCdTc2Cl
1.0
4.872 0.000 0.000
0.000 4.872 0.000
0.000 0.000 4.882
Sc Cd Tc Cl
1 1 2 1
Cartesian
0.000 0.000 0.000 Sc
2.436 2.436 2.441 Cd
0.000 2.436 0.000 Tc
2.436 0.000 0.000 Tc
0.000 0.000 2.441 Cl
```

---

A relaxed structure of CuIrSe4, computed with PBE.

The space group is F-43m (216). Its raw total energy is -19.6 eV for the cell shown. For the formation energy (no corrections), the calculation gives 1.2132 eV per atom. For the polymorph energy (0 for the lowest one), the calculation gives 1441 meV per atom.

POSCAR file:
```
CuIrSe4
1.0
0.000 3.888 3.888
3.888 0.000 3.888
3.888 3.888 0.000
Cu Ir Se
1 1 4
Cartesian
0.000 0.000 0.000 Cu
5.832 5.832 5.832 Ir
2.920 2.920 2.920 Se
4.856 4.856 2.920 Se
4.856 2.920 4.856 Se
2.920 4.856 4.856 Se
```

---

A relaxed structure of BaLa2W, computed with PBE.

The space group is I-4m2 (119). Its raw total energy is -42.3 eV for the cell shown. The calculation puts the formation energy at 901 meV per atom. For the polymorph energy (0 for the lowest one), the calculation gives 417 meV per atom.

POSCAR file:
```
BaLa2W
1.0
4.922 0.000 0.000
0.000 4.922 0.000
0.000 0.000 9.871
Ba La W
2 4 2
Cartesian
0.000 0.000 0.000 Ba
2.461 2.461 4.935 Ba
0.000 0.000 4.935 La
0.000 2.461 7.403 La
2.461 0.000 2.468 La
2.461 2.461 0.000 La
0.000 2.461 2.468 W
2.461 0.000 7.403 W
```

---

A relaxed structure of Zr2CrCdN, computed with PBE.

The space group is P4/mmm (123). Its raw total energy is -28.8 eV for the cell shown. For the formation energy (no corrections), the calculation gives 1.4356 eV per atom. For the polymorph energy (0 for the lowest one), the calculation gives 2022 meV per atom.

POSCAR file:
```
Zr2CrCdN
1.0
4.688 0.000 0.000
0.000 4.688 0.000
0.000 0.000 4.917
Zr Cr Cd N
2 1 1 1
Cartesian
0.000 2.344 0.000 Zr
2.344 0.000 0.000 Zr
0.000 0.000 0.000 Cr
0.000 0.000 2.459 Cd
2.344 2.344 2.459 N
```

---

A relaxed structure of MnCdI4, computed with PBE.

The space group is C2/m (12). Its raw total energy is -38.5 eV for the cell shown. For the formation energy (no corrections), the calculation gives -0.4976 eV per atom.

POSCAR file:
```
MnCdI4
1.0
16.669 0.000 0.000
0.000 4.224 0.000
-3.210 0.000 6.654
Mn Cd I
2 2 8
Cartesian
0.000 0.000 0.000 Mn
8.335 2.112 0.000 Mn
-1.605 2.112 3.327 Cd
6.729 0.000 3.327 Cd
-1.209 2.112 6.343 I
0.493 0.000 2.896 I
4.632 2.112 3.759 I
6.333 0.000 0.311 I
7.126 0.000 6.343 I
8.827 2.112 2.896 I
12.966 0.000 3.759 I
14.668 2.112 0.311 I
```

---

A relaxed structure of NaSrHoF6, computed with PBE.

The space group is P-31c (163). Its raw total energy is -105.1 eV for the cell shown. For the formation energy (no corrections), the calculation gives -3.7477 eV per atom.

POSCAR file:
```
NaSrHoF6
1.0
5.889 0.000 0.000
-2.944 5.100 0.000
0.000 0.000 10.307
Na Sr Ho F
2 2 2 12
Cartesian
0.000 3.400 2.577 Na
2.944 1.700 7.730 Na
0.000 0.000 0.000 Sr
0.000 0.000 5.153 Sr
0.000 3.400 7.730 Ho
2.944 1.700 2.577 Ho
-0.919 1.807 6.557 F
-1.839 3.400 8.903 F
0.919 1.807 8.903 F
-0.920 4.992 6.557 F
2.025 0.107 1.404 F
1.105 1.700 3.750 F
1.839 3.400 6.557 F
0.920 4.992 8.903 F
3.864 0.107 3.750 F
2.025 3.293 1.404 F
4.783 1.700 1.404 F
3.864 3.293 3.750 F
```

---

A relaxed structure of Nb6In2Mo, computed with PBE.

The space group is Cmmm (65). Its raw total energy is -72.3 eV for the cell shown. The calculation puts the formation energy at 493 meV per atom.

POSCAR file:
```
Nb6In2Mo
1.0
3.319 -6.168 0.000
3.319 6.168 0.000
0.000 0.000 4.408
Nb In Mo
6 2 1
Cartesian
1.409 1.711 2.204 Nb
1.403 0.000 0.000 Nb
1.409 -1.711 2.204 Nb
5.228 1.711 2.204 Nb
5.234 0.000 0.000 Nb
5.228 -1.711 2.204 Nb
3.319 2.592 0.000 In
3.319 -2.592 0.000 In
3.319 0.000 2.204 Mo
```

---

A relaxed structure of YSi2As, computed with PBE.

The space group is P4mm (99). Its raw total energy is -23.0 eV for the cell shown. For the formation energy (no corrections), the calculation gives -0.2559 eV per atom.

POSCAR file:
```
YSi2As
1.0
3.675 0.000 0.000
0.000 3.675 0.000
0.000 0.000 5.734
Y Si As
1 2 1
Cartesian
0.000 0.000 0.000 Y
0.000 0.000 2.898 Si
1.837 1.837 3.996 Si
1.837 1.837 1.532 As
```

---

A relaxed structure of CaMg2Tl, computed with PBE.

The space group is Pmmm (47). Its raw total energy is -8.0 eV for the cell shown. The calculation puts the formation energy at -98 meV per atom. For the polymorph energy (0 for the lowest one), the calculation gives 108 meV per atom.

POSCAR file:
```
CaMg2Tl
1.0
3.816 0.000 0.000
0.000 3.926 0.000
0.000 0.000 7.326
Ca Mg Tl
1 2 1
Cartesian
0.000 0.000 0.000 Ca
1.908 1.963 2.024 Mg
1.908 1.963 5.302 Mg
0.000 0.000 3.663 Tl
```

---

A relaxed structure of Hf7Zn2Au2, computed with PBE.

The space group is Cmmm (65). Its raw total energy is -76.7 eV for the cell shown. The calculation puts the formation energy at 187 meV per atom.

POSCAR file:
```
Hf7Zn2Au2
1.0
3.372 -4.993 0.000
3.372 4.993 0.000
0.000 0.000 7.144
Hf Zn Au
7 2 2
Cartesian
0.000 0.000 0.000 Hf
1.686 2.496 2.028 Hf
1.686 2.496 5.116 Hf
1.686 -2.496 2.028 Hf
1.686 -2.496 5.116 Hf
3.372 0.000 1.777 Hf
3.372 0.000 5.367 Hf
3.372 2.101 0.000 Zn
3.372 -2.101 0.000 Zn
1.323 0.000 3.572 Au
5.420 0.000 3.572 Au
```

---

A relaxed structure of NdTmCu, computed with PBE.

The space group is F-43m (216). Its raw total energy is -52.5 eV for the cell shown. The calculation puts the formation energy at 72 meV per atom. For the polymorph energy (0 for the lowest one), the calculation gives 196 meV per atom.

POSCAR file:
```
NdTmCu
1.0
6.916 0.000 0.000
0.000 6.916 0.000
0.000 0.000 6.916
Nd Tm Cu
4 4 4
Cartesian
0.000 0.000 0.000 Nd
0.000 3.458 3.458 Nd
3.458 0.000 3.458 Nd
3.458 3.458 0.000 Nd
0.000 0.000 3.458 Tm
0.000 3.458 0.000 Tm
3.458 0.000 0.000 Tm
3.458 3.458 3.458 Tm
1.729 1.729 5.187 Cu
1.729 5.187 1.729 Cu
5.187 1.729 1.729 Cu
5.187 5.187 5.187 Cu
```

---

A relaxed structure of La2PbAu4, computed with PBE.

The space group is R-3m (166). Its raw total energy is -30.7 eV for the cell shown. The calculation puts the formation energy at -582 meV per atom.

POSCAR file:
```
La2PbAu4
1.0
2.503 1.445 8.811
-2.503 1.445 8.811
0.000 -2.890 8.811
La Pb Au
2 1 4
Cartesian
0.000 0.000 6.575 La
0.000 0.000 19.859 La
0.000 0.000 0.000 Pb
0.000 0.000 3.511 Au
0.000 0.000 9.865 Au
0.000 0.000 16.570 Au
0.000 0.000 22.924 Au
```

---

A relaxed structure of IrRu2Cl, computed with PBE.

The space group is Pmmm (47). Its raw total energy is -27.6 eV for the cell shown. For the formation energy (no corrections), the calculation gives 0.4209 eV per atom. For the polymorph energy (0 for the lowest one), the calculation gives 23 meV per atom.

POSCAR file:
```
IrRu2Cl
1.0
2.801 0.000 0.000
0.000 3.633 0.000
0.000 0.000 6.347
Ir Ru Cl
1 2 1
Cartesian
0.000 0.000 0.000 Ir
1.401 1.816 1.297 Ru
1.401 1.816 5.051 Ru
1.401 0.000 3.174 Cl
```

---

A relaxed structure of KSrYOs2, computed with PBE.

The space group is P4/mmm (123). Its raw total energy is -21.0 eV for the cell shown. The calculation puts the formation energy at 2149 meV per atom.

POSCAR file:
```
KSrYOs2
1.0
5.006 0.000 0.000
0.000 5.006 0.000
0.000 0.000 4.956
K Sr Y Os
1 1 1 2
Cartesian
0.000 0.000 0.000 K
0.000 0.000 2.478 Sr
2.503 2.503 2.478 Y
0.000 2.503 0.000 Os
2.503 0.000 0.000 Os
```

---

A relaxed structure of Tb3Nd2YS6, computed with PBE.

The space group is C2/m (12). Its raw total energy is -78.8 eV for the cell shown. For the formation energy (no corrections), the calculation gives -2.0122 eV per atom.

POSCAR file:
```
Tb3Nd2YS6
1.0
8.658 -1.978 0.000
8.658 1.978 0.000
-1.874 0.000 7.773
Tb Nd Y S
3 2 1 6
Cartesian
0.000 0.000 0.000 Tb
4.488 0.000 5.185 Tb
10.954 0.000 2.588 Tb
5.450 0.000 1.281 Nd
9.992 0.000 6.492 Nd
-0.937 0.000 3.886 Y
2.658 0.000 0.706 S
1.789 0.000 4.459 S
7.198 0.000 5.809 S
8.244 0.000 1.964 S
13.653 0.000 3.314 S
12.784 0.000 7.066 S
```